The following is a PBE calculation of crystalline SiAs2Pd at its relaxed geometry, from Alexandria via LeMat-Bulk.

The density of states at the Fermi level is 6.34 states/eV per cell. Its crystal system is trigonal. The size of the total moment is 0.00 μB/f.u. The calculation puts the total energy at -4.81 eV/atom.

It has space group R-3m (No. 166, hexagonal axes), with a = 3.3901 Å, b = 3.3901 Å, c = 23.5835 Å, α = 90.00°, β = 90.00° and γ = 120.00°. The asymmetric unit holds Si at (0.0000, 0.0000, 0.0000), As at (0.0000, 0.0000, 0.3986) and Pd at (0.0000, 0.0000, 0.5000).